CsScSn2I8: optimized geometry, GGA-PBE.

Unit cell a=7.374 b=7.863 c=10.331 alpha=81.57 beta=84.07 gamma=84.27
Space group P-1 (No. 2)
Unique sites:
Cs 0.000 0.000 0.000 [1 per cell]
Sc 0.000 0.000 0.500 [1 per cell]
Sn 0.460 0.473 0.250 [2 per cell]
I 0.208 0.307 0.475 [2 per cell]
I 0.236 0.839 0.702 [2 per cell]
I 0.252 0.855 0.303 [2 per cell]
I 0.267 0.384 0.039 [2 per cell]



LiEr2Te: optimized geometry, GGA-PBE.

Unit cell a=3.7994 b=3.7994 c=32.0017 alpha=90.00 beta=90.00 gamma=120.00
Space group R-3m (No. 166, hexagonal axes)
Unique sites:
Li 0.0000 0.0000 0.0000 [3 per cell]
Er 0.0000 0.0000 0.1022 [6 per cell]
Te 0.0000 0.0000 0.5000 [3 per cell]



| no. | E_tot (eV/atom) | DOS(E_F) (states/eV/atom) |
| --- | --- | --- |
| 1 | -3.155 | 0.00 |
| 2 | -3.738 | 0.86 |